A | InCoCl2: relaxed, GGA-PBEsol.

Values from the calculation:
Spin magnetization, Bohr magnetons per cell: 4.2
Density, g cm⁻³: 4.9
DOS at the Fermi energy, states/eV per cell: 7.53

Cell and atoms, written as CIF:
```
data_InCoCl2
_symmetry_space_group_name_H-M 'I m m m'
_symmetry_Int_Tables_number 71
_symmetry_space_group_name_Hall '-I 2 2'
_cell_length_a 3.257
_cell_length_b 5.363
_cell_length_c 9.451
_cell_angle_alpha 90.00
_cell_angle_beta 90.00
_cell_angle_gamma 90.00
loop_
_atom_site_label
_atom_site_type_symbol
_atom_site_fract_x
_atom_site_fract_y
_atom_site_fract_z
_atom_site_occupancy
In1 In 0.000 0.000 0.000 1
Co1 Co 0.000 0.000 0.500 1
Cl1 Cl 0.000 0.500 0.172 1
```

B | InCoCl2: relaxed, GGA-PBEsol.

Values from the calculation:
Spin magnetization, Bohr magnetons per cell: 4.1
Density, g cm⁻³: 4.7
DOS at the Fermi energy, states/eV per cell: 7.96

Cell and atoms, written as CIF:
```
data_InCoCl2
_symmetry_space_group_name_H-M 'C m m 2'
_symmetry_Int_Tables_number 35
_cell_length_a 3.394
_cell_length_b 5.892
_cell_length_c 8.587
_cell_angle_alpha 90.00
_cell_angle_beta 90.00
_cell_angle_gamma 90.00
loop_
_symmetry_equiv_pos_as_xyz
'x,y,z'
'-x,-y,z'
'-x,y,z'
'x,-y,z'
'x+1/2,y+1/2,z'
'-x+1/2,-y+1/2,z'
'-x+1/2,y+1/2,z'
'x+1/2,-y+1/2,z'
loop_
_atom_site_label
_atom_site_type_symbol
_atom_site_fract_x
_atom_site_fract_y
_atom_site_fract_z
_atom_site_occupancy
In1 In 0.000 0.000 0.000 1
Co1 Co 0.000 0.500 0.767 1
Cl1 Cl 0.000 0.000 0.601 1
Cl2 Cl 0.000 0.500 0.225 1
```

Going by the computed energies, the most stable comes first: A, B.

A | InCoCl2: relaxed, GGA-PBEsol.

Values from the calculation:
Spin magnetization, Bohr magnetons per cell: 4.0
Density, g cm⁻³: 4.9
DOS at the Fermi energy, states/eV per cell: 2.99

Cell and atoms, written as CIF:
```
data_InCoCl2
_symmetry_space_group_name_H-M 'I m m 2'
_symmetry_Int_Tables_number 44
_cell_length_a 3.201
_cell_length_b 5.920
_cell_length_c 8.797
_cell_angle_alpha 90.00
_cell_angle_beta 90.00
_cell_angle_gamma 90.00
loop_
_symmetry_equiv_pos_as_xyz
'x,y,z'
'-x,-y,z'
'-x,y,z'
'x,-y,z'
'x+1/2,y+1/2,z+1/2'
'-x+1/2,-y+1/2,z+1/2'
'-x+1/2,y+1/2,z+1/2'
'x+1/2,-y+1/2,z+1/2'
loop_
_atom_site_label
_atom_site_type_symbol
_atom_site_fract_x
_atom_site_fract_y
_atom_site_fract_z
_atom_site_occupancy
In1 In 0.000 0.000 0.000 1
Co1 Co 0.000 0.500 0.264 1
Cl1 Cl 0.000 0.000 0.582 1
Cl2 Cl 0.000 0.500 0.743 1
```

B | InCoCl2: relaxed, GGA-PBEsol.

Values from the calculation:
Spin magnetization, Bohr magnetons per cell: 6.0
Density, g cm⁻³: 5.0

Cell and atoms, written as CIF:
```
data_InCoCl2
_symmetry_space_group_name_H-M 'R 3 m'
_symmetry_Int_Tables_number 160
_symmetry_space_group_name_Hall 'R 3 -2"'
_cell_length_a 3.3935
_cell_length_b 3.3935
_cell_length_c 24.2830
_cell_angle_alpha 90.00
_cell_angle_beta 90.00
_cell_angle_gamma 120.00
loop_
_atom_site_label
_atom_site_type_symbol
_atom_site_fract_x
_atom_site_fract_y
_atom_site_fract_z
_atom_site_occupancy
In1 In 0.0000 0.0000 0.0000 1
Co1 Co 0.0000 0.0000 0.2565 1
Cl1 Cl 0.0000 0.0000 0.5413 1
Cl2 Cl 0.0000 0.0000 0.7426 1
```

Going by the computed energies, the most stable comes first: B, A.

A | In2CoCl: relaxed, GGA-PBEsol.

Values from the calculation:
Spin magnetization, Bohr magnetons per cell: 2.8
Density, g cm⁻³: 6.7
DOS at the Fermi energy, states/eV per cell: 6.70

Cell and atoms, written as CIF:
```
data_In2CoCl
_symmetry_space_group_name_H-M 'I m m m'
_symmetry_Int_Tables_number 71
_symmetry_space_group_name_Hall '-I 2 2'
_cell_length_a 3.299
_cell_length_b 5.521
_cell_length_c 8.822
_cell_angle_alpha 90.00
_cell_angle_beta 90.00
_cell_angle_gamma 90.00
loop_
_atom_site_label
_atom_site_type_symbol
_atom_site_fract_x
_atom_site_fract_y
_atom_site_fract_z
_atom_site_occupancy
In1 In 0.000 0.000 0.226 1
Co1 Co 0.000 0.500 0.500 1
Cl1 Cl 0.000 0.500 0.000 1
```

B | In2CoCl: relaxed, GGA-PBEsol.

Values from the calculation:
Spin magnetization, Bohr magnetons per cell: 2.6
Density, g cm⁻³: 6.9
DOS at the Fermi energy, states/eV per cell: 5.41

Cell and atoms, written as CIF:
```
data_In2CoCl
_symmetry_space_group_name_H-M 'I m m 2'
_symmetry_Int_Tables_number 44
_cell_length_a 2.940
_cell_length_b 5.141
_cell_length_c 10.273
_cell_angle_alpha 90.00
_cell_angle_beta 90.00
_cell_angle_gamma 90.00
loop_
_symmetry_equiv_pos_as_xyz
'x,y,z'
'-x,-y,z'
'-x,y,z'
'x,-y,z'
'x+1/2,y+1/2,z+1/2'
'-x+1/2,-y+1/2,z+1/2'
'-x+1/2,y+1/2,z+1/2'
'x+1/2,-y+1/2,z+1/2'
loop_
_atom_site_label
_atom_site_type_symbol
_atom_site_fract_x
_atom_site_fract_y
_atom_site_fract_z
_atom_site_occupancy
In1 In 0.000 0.000 0.000 1
In2 In 0.000 0.500 0.214 1
Co1 Co 0.000 0.000 0.500 1
Cl1 Cl 0.000 0.500 0.827 1
```

Going by the computed energies, the most stable comes first: B, A.

A | KCo2Cl: relaxed, GGA-PBEsol.

Values from the calculation:
Spin magnetization, Bohr magnetons per cell: 7.4
Density, g cm⁻³: 3.6
DOS at the Fermi energy, states/eV per cell: 6.23

Cell and atoms, written as CIF:
```
data_KCo2Cl
_symmetry_space_group_name_H-M 'I m m 2'
_symmetry_Int_Tables_number 44
_cell_length_a 3.161
_cell_length_b 5.958
_cell_length_c 9.319
_cell_angle_alpha 90.00
_cell_angle_beta 90.00
_cell_angle_gamma 90.00
loop_
_symmetry_equiv_pos_as_xyz
'x,y,z'
'-x,-y,z'
'-x,y,z'
'x,-y,z'
'x+1/2,y+1/2,z+1/2'
'-x+1/2,-y+1/2,z+1/2'
'-x+1/2,y+1/2,z+1/2'
'x+1/2,-y+1/2,z+1/2'
loop_
_atom_site_label
_atom_site_type_symbol
_atom_site_fract_x
_atom_site_fract_y
_atom_site_fract_z
_atom_site_occupancy
K1 K 0.000 0.000 0.000 1
Co1 Co 0.000 0.000 0.528 1
Co2 Co 0.000 0.500 0.868 1
Cl1 Cl 0.000 0.500 0.211 1
```

B | KCo2Cl: relaxed, GGA-PBEsol.

Values from the calculation:
Spin magnetization, Bohr magnetons per cell: 8.2
Density, g cm⁻³: 4.0
DOS at the Fermi energy, states/eV per cell: 11.64

Cell and atoms, written as CIF:
```
data_KCo2Cl
_symmetry_space_group_name_H-M 'C 1 2/m 1'
_symmetry_Int_Tables_number 12
_cell_length_a 5.292
_cell_length_b 11.884
_cell_length_c 3.084
_cell_angle_alpha 90.00
_cell_angle_beta 125.48
_cell_angle_gamma 90.00
loop_
_symmetry_equiv_pos_as_xyz
'x,y,z'
'-x,-y,-z'
'-x,y,-z'
'x,-y,z'
'x+1/2,y+1/2,z'
'-x+1/2,-y+1/2,-z'
'-x+1/2,y+1/2,-z'
'x+1/2,-y+1/2,z'
loop_
_atom_site_label
_atom_site_type_symbol
_atom_site_fract_x
_atom_site_fract_y
_atom_site_fract_z
_atom_site_occupancy
K1 K 0.000 0.000 0.000 1
Co1 Co 0.250 0.250 0.500 1
Cl1 Cl 0.000 0.500 0.000 1
```

Going by the computed energies, the most stable comes first: A, B.